# 1
The following is a DFT calculation (meta-GGA SCAN) of a crystal of LiScTl2 relaxed with PBEsol.

Unit cell a=5.863 b=5.863 c=5.165 alpha=107.76 beta=107.76 gamma=32.32
Element x y z (fractional)
Li 0.000 0.000 0.000
Sc 0.762 0.762 0.428
Tl 0.252 0.252 0.926
Tl 0.506 0.506 0.490

Calculated values
Formation enthalpy at 0 K = -0.296 eV per atom



# 2
The following is a DFT calculation (meta-GGA SCAN) of a crystal of Li2ScTl relaxed with PBEsol.

Unit cell a=4.760 b=4.760 c=4.760 alpha=60.00 beta=60.00 gamma=60.00
Element x y z (fractional)
Li 0.000 0.000 0.000
Li 0.250 0.250 0.250
Sc 0.500 0.500 0.500
Tl 0.750 0.750 0.750

Calculated values
Formation enthalpy at 0 K = -0.363 eV per atom



# 3
The following is a DFT calculation (meta-GGA SCAN) of a crystal of LiScTl relaxed with PBEsol.

Unit cell a=4.661 b=4.661 c=3.255 alpha=90.00 beta=90.00 gamma=120.00
Element x y z (fractional)
Li 0.000 0.000 0.000
Sc 0.333 0.667 0.500
Tl 0.667 0.333 0.000

Calculated values
Formation enthalpy at 0 K = -0.383 eV per atom



# 4
The following is a DFT calculation (meta-GGA SCAN) of a crystal of Li4ScTl relaxed with PBEsol.

Unit cell a=5.298 b=5.298 c=5.298 alpha=60.00 beta=60.00 gamma=60.00
Element x y z (fractional)
Li 0.125 0.125 0.125
Li 0.125 0.125 0.624
Li 0.125 0.624 0.125
Li 0.624 0.125 0.125
Sc 0.750 0.750 0.750
Tl 0.500 0.500 0.500

Calculated values
Formation enthalpy at 0 K = -0.125 eV per atom



> Among the records above, which one has the lowest formation enthalpy at 0 K?

LiScTl



> Look up the formation enthalpy at 0 K of the first one.

-0.296 eV per atom



> Which of these has the highest formation enthalpy at 0 K?

Li4ScTl